The following is a PBE calculation of a geometry-optimized Cd3CuPd4 structure, from Alexandria via LeMat-Bulk.

Summary:
As for the total magnetization: 0.00 μB/cell. The symmetry is P4/mmm (123). The energy of formation from the pure elements is -32.6 kJ per mole of atoms. The energy comes out at -30.32 eV/cell.

a b c (Å): 3.0534 3.0534 14.2515
angles (deg): 90.00 90.00 90.00
With the nearest neighbours (Å) after each atom.
Fractional positions:
Pd  0.0000  0.0000  0.8945  4 Cu 2.63, 4 Cd 2.85
Pd  0.0000  0.0000  0.1055  4 Cu 2.63, 4 Cd 2.85
Pd  0.0000  0.0000  0.3677  8 Cd 2.86-2.87, 4 Pd 3.05
Pd  0.0000  0.0000  0.6323  8 Cd 2.86-2.87, 4 Pd 3.05
Cu  0.5000  0.5000  0.0000  8 Pd 2.63
Cd  0.5000  0.5000  0.2356  8 Pd 2.85-2.86, 4 Cd 3.05
Cd  0.5000  0.5000  0.5000  8 Pd 2.87, 4 Cd 3.05
Cd  0.5000  0.5000  0.7644  8 Pd 2.85-2.86, 4 Cd 3.05

The following is a PBE calculation of a geometry-optimized CuTc2Br structure, from Alexandria via LeMat-Bulk.

Summary:
As for the total magnetization: 0.00 μB/cell. The symmetry is P4mm (99). The raw formation energy comes out at 0.46 eV per atom. The energy comes out at -24.66 eV/cell.

a b c (Å): 3.0197 3.0197 7.1746
angles (deg): 90.00 90.00 90.00
With the nearest neighbours (Å) after each atom.
Fractional positions:
Br  0.0000  0.0000  0.5000  4 Cu 2.88, 4 Tc 2.96, 4 Br 3.02
Cu  0.5000  0.5000  0.7694  4 Tc 2.77, 4 Br 2.88, 4 Cu 3.02
Tc  0.0000  0.0000  0.0163  4 Tc 2.56, 4 Cu 2.77
Tc  0.5000  0.5000  0.2143  4 Tc 2.56

The following is a PBE calculation of a geometry-optimized NbCd3Ru structure, from Alexandria via LeMat-Bulk.

Summary:
As for the total magnetization: 0.00 μB/cell. The symmetry is Pm-3m (221). The energy of formation from the pure elements is 126.6 kJ per mole of atoms. The energy comes out at -15.53 eV/cell.

a b c (Å): 5.0040 5.0040 5.0040
angles (deg): 90.00 90.00 90.00
With the nearest neighbours (Å) after each atom.
Fractional positions:
Ru  0.0000  0.0000  0.0000  6 Cd 2.50
Nb  0.5000  0.5000  0.5000  12 Cd 3.54
Cd  0.0000  0.5000  0.0000  2 Ru 2.50
Cd  0.0000  0.0000  0.5000  2 Ru 2.50
Cd  0.5000  0.0000  0.0000  2 Ru 2.50

The following is a PBE calculation of a geometry-optimized Ho3Ge13Ru4 structure, from Alexandria via LeMat-Bulk.

Summary:
As for the total magnetization: 0.00 μB/cell. The symmetry is Pm-3n (223). The energy of formation from the pure elements is -42.8 kJ per mole of atoms. The energy comes out at -239.45 eV/cell.

a b c (Å): 9.0286 9.0286 9.0286
angles (deg): 90.00 90.00 90.00
With the nearest neighbours (Å) after each atom.
Fractional positions:
Ho  0.0000  0.5000  0.7500  12 Ge 3.17-3.22, 4 Ru 3.19
Ho  0.5000  0.2500  0.0000  12 Ge 3.17-3.22, 4 Ru 3.19
Ho  0.7500  0.0000  0.5000  12 Ge 3.17-3.22, 4 Ru 3.19
Ho  0.0000  0.5000  0.2500  12 Ge 3.17-3.22, 4 Ru 3.19
Ho  0.5000  0.7500  0.0000  12 Ge 3.17-3.22, 4 Ru 3.19
Ho  0.2500  0.0000  0.5000  12 Ge 3.17-3.22, 4 Ru 3.19
Ge  0.5000  0.5000  0.5000  12 Ge 3.04
Ge  0.0000  0.0000  0.0000  12 Ge 3.04
Ge  0.8022  0.3525  0.5000  2 Ru 2.48, 1 Ge 2.66
Ge  0.6475  0.5000  0.8022  2 Ru 2.48, 1 Ge 2.66
Ge  0.5000  0.1978  0.6475  2 Ru 2.48, 1 Ge 2.66
Ge  0.1978  0.6475  0.5000  2 Ru 2.48, 1 Ge 2.66
Ge  0.3525  0.5000  0.1978  2 Ru 2.48, 1 Ge 2.66
Ge  0.5000  0.8022  0.3525  2 Ru 2.48, 1 Ge 2.66
Ge  0.8022  0.6475  0.5000  2 Ru 2.48, 1 Ge 2.66
Ge  0.6475  0.5000  0.1978  2 Ru 2.48, 1 Ge 2.66
Ge  0.1978  0.3525  0.5000  2 Ru 2.48, 1 Ge 2.66
Ge  0.3525  0.5000  0.8022  2 Ru 2.48, 1 Ge 2.66
Ge  0.5000  0.8022  0.6475  2 Ru 2.48, 1 Ge 2.66
Ge  0.5000  0.1978  0.3525  2 Ru 2.48, 1 Ge 2.66
Ge  0.3022  0.0000  0.8525  2 Ru 2.48, 1 Ge 2.66
Ge  0.1475  0.3022  0.0000  2 Ru 2.48, 1 Ge 2.66
Ge  0.0000  0.1475  0.6978  2 Ru 2.48, 1 Ge 2.66
Ge  0.6978  0.0000  0.1475  2 Ru 2.48, 1 Ge 2.66
Ge  0.8525  0.6978  0.0000  2 Ru 2.48, 1 Ge 2.66
Ge  0.0000  0.8525  0.3022  2 Ru 2.48, 1 Ge 2.66
Ge  0.3022  0.0000  0.1475  2 Ru 2.48, 1 Ge 2.66
Ge  0.1475  0.6978  0.0000  2 Ru 2.48, 1 Ge 2.66
Ge  0.6978  0.0000  0.8525  2 Ru 2.48, 1 Ge 2.66
Ge  0.8525  0.3022  0.0000  2 Ru 2.48, 1 Ge 2.66
Ge  0.0000  0.1475  0.3022  2 Ru 2.48, 1 Ge 2.66
Ge  0.0000  0.8525  0.6978  2 Ru 2.48, 1 Ge 2.66
Ru  0.7500  0.2500  0.7500  6 Ge 2.48
Ru  0.2500  0.7500  0.2500  6 Ge 2.48
Ru  0.7500  0.7500  0.2500  6 Ge 2.48
Ru  0.2500  0.2500  0.7500  6 Ge 2.48
Ru  0.2500  0.7500  0.7500  6 Ge 2.48
Ru  0.7500  0.2500  0.2500  6 Ge 2.48
Ru  0.2500  0.2500  0.2500  6 Ge 2.48
Ru  0.7500  0.7500  0.7500  6 Ge 2.48